Below is a relaxed V2Au crystal, with properties calculated at the PBE level.

Cell: 4.9937 4.9937 4.9937 Å, 60.00 60.00 60.00°
With the nearest neighbours (Å) after each atom.
Element x y z (fractional)
Au (0.0000, 0.0000, 0.0000)  12 V 2.93, 4 Au 3.06
Au (0.2500, 0.2500, 0.2500)  12 V 2.93, 4 Au 3.06
V (0.1250, 0.6250, 0.6250)  6 V 2.50
V (0.6250, 0.1250, 0.6250)  6 V 2.50
V (0.6250, 0.6250, 0.6250)  6 V 2.50
V (0.6250, 0.6250, 0.1250)  6 V 2.50

Calculated values
The formation energy comes out at 0.063 eV/atom. As for the density of states at the Fermi level: 0.840 states/eV/atom. For the total DFT energy (no corrections), the calculation gives -7.11 eV per atom. The value obtained for the spin magnetization is 0.00 μB/cell. The value obtained for the density is 11.27 g cm⁻³.